Pm4PrSb5, relaxed, DFT GGA-PBE; energy relative to the elements, uncorrected = -1.189 eV/atom; crystal system = tetragonal; total magnetic moment = 0.00 μB per formula unit
1.0
-2.253 2.253 15.922
2.253 -2.253 15.922
2.253 2.253 -15.922
Pm Pr Sb
4 1 5
direct
0.100 0.100 0.000
0.300 0.300 0.000
0.700 0.700 0.000
0.900 0.900 0.000
0.500 0.500 0.000
0.000 0.000 0.000
0.200 0.200 0.000
0.399 0.399 0.000
0.601 0.601 0.000
0.800 0.800 0.000